Here is an optimized crystal structure of Th2Te2C from Alexandria via LeMat-Bulk. Energies are from GGA-PBE.

ΔE_f (raw)   -950 meV/atom
Energy   -7.0197 eV/atom
Energy above the most stable polymorph in this dataset   0.000 eV/atom
ρ   8.4 Mg/m³
Symmetry   No. 72

Structure (CIF):
```
data_Th2Te2C
_symmetry_space_group_name_H-M 'P 1'
_symmetry_Int_Tables_number 1
_cell_length_a 7.847
_cell_length_b 7.847
_cell_length_c 7.847
_cell_angle_alpha 122.42
_cell_angle_beta 77.17
_cell_angle_gamma 133.32
loop_
_symmetry_equiv_pos_as_xyz
'x,y,z'
loop_
_atom_site_label
_atom_site_type_symbol
_atom_site_fract_x
_atom_site_fract_y
_atom_site_fract_z
_atom_site_occupancy
Th1 Th 0.095 0.184 0.279 1
Th2 Th 0.405 0.684 0.089 1
Th3 Th 0.595 0.316 0.911 1
Th4 Th 0.905 0.816 0.721 1
Te1 Te 0.143 0.637 0.779 1
Te2 Te 0.357 0.137 0.494 1
Te3 Te 0.643 0.863 0.506 1
Te4 Te 0.857 0.363 0.221 1
C1 C 0.250 0.250 0.000 1
C2 C 0.750 0.750 0.000 1
```